CuPt2W | GGA-PBE | relaxed

a = 4.7288 Å, b = 4.7288 Å, c = 4.8408 Å
α = 99.40°, β = 99.40°, γ = 33.98°
Fractional positions:
Cu (0.0000, 0.0000, 0.0000)
Pt (0.2504, 0.2504, 0.7489)
Pt (0.7496, 0.7496, 0.2511)
W (0.5000, 0.5000, 0.5000)

Summary:
Calculated formation energy   -0.07 eV/atom
Total magnetization   0.0 μB/cell
Symmetry   C2/m
Energy above the lowest structure with this stoichiometry   18.9 kJ/mol of atoms